No. 1
Entry from the Alexandria database: crystalline YSiSb2 at its relaxed geometry (PBE).

Summary:
- Formation energy (no corrections): 23 meV per atom
- V: 25.32 A^3/atom
- D(E_F): 3.00 states/eV/f.u.

Cell: 7.400 7.400 7.400 Å, 90.00 90.00 90.00°
Space group F-43m (No. 216)
Inequivalent atoms, fractional coordinates:
Y (0.000, 0.000, 0.000) (multiplicity 4)
Si (0.250, 0.250, 0.750) (multiplicity 4)
Sb (0.000, 0.000, 0.500) (multiplicity 4)
Sb (0.250, 0.250, 0.250) (multiplicity 4)



No. 2
Entry from the Alexandria database: crystalline YSiSb2 at its relaxed geometry (PBE).

Summary:
- Formation energy (no corrections): -356 meV per atom
- V: 26.23 A^3/atom
- D(E_F): 0.97 states/eV/f.u.

Cell: 4.200 4.154 6.284 Å, 90.00 106.82 90.00°
Space group Pm (No. 6)
Inequivalent atoms, fractional coordinates:
Y (0.000, 0.000, 0.000) (multiplicity 1)
Si (0.514, 0.500, 0.221) (multiplicity 1)
Sb (0.430, 0.500, 0.793) (multiplicity 1)
Sb (0.817, 0.000, 0.456) (multiplicity 1)



No. 3
Entry from the Alexandria database: crystalline YSiSb2 at its relaxed geometry (PBE).

Summary:
- Formation energy (no corrections): -45 meV per atom
- V: 25.09 A^3/atom
- D(E_F): 2.68 states/eV/f.u.

Cell: 4.238 5.523 8.574 Å, 90.00 90.00 90.00°
Space group Cmmm (No. 65)
Inequivalent atoms, fractional coordinates:
Y (0.000, 0.000, 0.000) (multiplicity 2)
Si (0.000, 0.000, 0.500) (multiplicity 2)
Sb (0.000, 0.500, 0.262) (multiplicity 4)



No. 4
Entry from the Alexandria database: crystalline YSiSb2 at its relaxed geometry (PBE).

Summary:
- Formation energy (no corrections): -234 meV per atom
- V: 24.82 A^3/atom
- D(E_F): 2.41 states/eV/f.u.

Cell: 6.213 7.929 4.030 Å, 90.00 90.00 90.00°
Space group Cmmm (No. 65)
Inequivalent atoms, fractional coordinates:
Y (0.000, 0.000, 0.000) (multiplicity 2)
Si (0.000, 0.500, 0.000) (multiplicity 2)
Sb (0.250, 0.250, 0.500) (multiplicity 4)



No. 5
Entry from the Alexandria database: crystalline YSiSb2 at its relaxed geometry (PBE).

Summary:
- Formation energy (no corrections): -315 meV per atom
- V: 23.85 A^3/atom
- D(E_F): 1.73 states/eV/f.u.

Cell: 10.197 5.308 3.791 Å, 90.00 111.59 90.00°
Space group C2/m (No. 12)
Inequivalent atoms, fractional coordinates:
Y (0.000, 0.000, 0.000) (multiplicity 2)
Si (0.000, 0.500, 0.500) (multiplicity 2)
Sb (0.215, 0.500, 0.214) (multiplicity 4)



No. 6
Entry from the Alexandria database: crystalline YSiSb2 at its relaxed geometry (PBE).

Summary:
- Formation energy (no corrections): -265 meV per atom
- V: 24.61 A^3/atom
- D(E_F): 2.21 states/eV/f.u.

Cell: 4.050 4.050 6.002 Å, 90.00 90.00 90.00°
Space group P4/mmm (No. 123)
Inequivalent atoms, fractional coordinates:
Y (0.000, 0.000, 0.000) (multiplicity 1)
Si (0.000, 0.000, 0.500) (multiplicity 1)
Sb (0.500, 0.500, 0.257) (multiplicity 2)



Question: What is the formula in the third record?
Answer: YSiSb2



Question: formation energy (no corrections) of number 1 (YSiSb2)?
Answer: 23 meV per atom